w:
{
  "formula": "PmZnAs",
  "functional": "PBE",
  "state": "optimized geometry",
  "lattice": [[-2.041, 2.041, 4.242], [2.041, -2.041, 4.242], [2.041, 2.041, -4.242]],
  "species": ["Pm", "Zn", "As"],
  "frac_coords": [[0.000, 0.000, 0.000], [0.658, 0.658, 0.000], [0.355, 0.355, 0.000]]
}

x:
{
  "formula": "PmZnAs",
  "functional": "PBE",
  "state": "optimized geometry",
  "lattice": [[4.234, 0.000, 0.000], [-2.117, 3.667, 0.000], [0.000, 0.000, 4.196]],
  "species": ["Pm", "Zn", "As"],
  "frac_coords": [[0.000, 0.000, 0.000], [0.667, 0.333, 0.415], [0.333, 0.667, 0.543]]
}

Unit: meV per atom. Relative energies: w 281; x 0.

w:
{
  "formula": "PmZrAs",
  "functional": "PBE",
  "state": "optimized geometry",
  "lattice": [[-2.081, 2.081, 8.134], [2.081, -2.081, 8.134], [2.081, 2.081, -8.134]],
  "species": ["Pm", "Pm", "Zr", "Zr", "As", "As"],
  "frac_coords": [[0.177, 0.177, 0.000], [0.823, 0.823, 0.000], [0.000, 0.500, 0.500], [0.500, 0.000, 0.500], [0.373, 0.373, 0.000], [0.627, 0.627, 0.000]]
}

x:
{
  "formula": "PmZrAs",
  "functional": "PBE",
  "state": "optimized geometry",
  "lattice": [[4.641, 0.000, 0.000], [-2.321, 4.020, 0.000], [0.000, 0.000, 4.064]],
  "species": ["Pm", "Zr", "As"],
  "frac_coords": [[0.000, 0.000, 0.000], [0.667, 0.333, 0.500], [0.333, 0.667, 0.500]]
}

Unit: meV per atom. Relative energies: w 0; x 553.

w:
{
  "formula": "PmZrAs2",
  "functional": "PBE",
  "state": "optimized geometry",
  "lattice": [[3.988, 0.000, 0.000], [-1.994, 3.453, 0.000], [0.000, 0.000, 13.584]],
  "species": ["Pm", "Pm", "Zr", "Zr", "As", "As", "As", "As"],
  "frac_coords": [[0.333, 0.667, 0.250], [0.667, 0.333, 0.750], [0.000, 0.000, 0.000], [0.000, 0.000, 0.500], [0.333, 0.667, 0.613], [0.333, 0.667, 0.887], [0.667, 0.333, 0.113], [0.667, 0.333, 0.387]]
}

x:
{
  "formula": "PmZrAs2",
  "functional": "PBE",
  "state": "optimized geometry",
  "lattice": [[2.011, 1.161, 6.671], [-2.011, 1.161, 6.671], [0.000, -2.322, 6.671]],
  "species": ["Pm", "Zr", "As", "As"],
  "frac_coords": [[0.000, 0.000, 0.000], [0.500, 0.500, 0.500], [0.243, 0.243, 0.243], [0.757, 0.757, 0.757]]
}

Unit: meV per atom. Relative energies: w 53; x 0.

w:
{
  "formula": "Pr2PuAs3",
  "functional": "PBE",
  "state": "optimized geometry",
  "lattice": [[-2.128, 2.128, 9.013], [2.128, -2.128, 9.013], [2.128, 2.128, -9.013]],
  "species": ["Pr", "Pr", "Pu", "As", "As", "As"],
  "frac_coords": [[0.167, 0.167, 0.000], [0.833, 0.833, 0.000], [0.500, 0.500, 0.000], [0.000, 0.000, 0.000], [0.337, 0.337, 0.000], [0.663, 0.663, 0.000]]
}

x:
{
  "formula": "Pr2PuAs3",
  "functional": "PBE",
  "state": "optimized geometry",
  "lattice": [[-2.129, 3.004, 6.365], [2.129, -3.004, 6.365], [2.129, 3.004, -6.365]],
  "species": ["Pr", "Pr", "Pu", "As", "As", "As"],
  "frac_coords": [[0.168, 0.168, 0.000], [0.832, 0.832, 0.000], [0.500, 0.500, 0.000], [0.000, 0.500, 0.500], [0.342, 0.842, 0.500], [0.658, 0.158, 0.500]]
}

Unit: meV per atom. Relative energies: w 6; x 0.